No. 1
First-principles (GGA-PBEsol) data for a relaxed TeC2 crystal, as listed in Alexandria.

```
data_TeC2
_symmetry_space_group_name_H-M 'P 63/m m c'
_symmetry_Int_Tables_number 194
_symmetry_space_group_name_Hall '-P 6c 2c'
_cell_length_a 4.0653
_cell_length_b 4.0653
_cell_length_c 4.9528
_cell_angle_alpha 90.00
_cell_angle_beta 90.00
_cell_angle_gamma 120.00
loop_
_atom_site_label
_atom_site_fract_x
_atom_site_fract_y
_atom_site_fract_z
_atom_site_occupancy
Te1 0.3333 0.6667 0.2500 1
C1 0.0000 0.0000 0.0000 1
C2 0.3333 0.6667 0.7500 1
```

Energy above the lowest structure with this stoichiometry: 1405 meV per atom
Uncorrected energy: -4.65 eV per atom

No. 2
First-principles (GGA-PBEsol) data for a relaxed Te2C crystal, as listed in Alexandria.

```
data_Te2C
_symmetry_space_group_name_H-M 'P -3 m 1'
_symmetry_Int_Tables_number 164
_symmetry_space_group_name_Hall '-P 3 2"'
_cell_length_a 3.3059
_cell_length_b 3.3059
_cell_length_c 6.3702
_cell_angle_alpha 90.00
_cell_angle_beta 90.00
_cell_angle_gamma 120.00
loop_
_atom_site_label
_atom_site_fract_x
_atom_site_fract_y
_atom_site_fract_z
_atom_site_occupancy
Te1 0.3333 0.6667 0.2421 1
C1 0.0000 0.0000 0.0000 1
```

Energy above the lowest structure with this stoichiometry: 101 meV per atom
Uncorrected energy: -4.30 eV per atom

No. 3
First-principles (GGA-PBEsol) data for a relaxed TeC2 crystal, as listed in Alexandria.

```
data_TeC2
_symmetry_space_group_name_H-M 'P -6 m 2'
_symmetry_Int_Tables_number 187
_symmetry_space_group_name_Hall 'P -6 2'
_cell_length_a 3.3961
_cell_length_b 3.3961
_cell_length_c 4.1343
_cell_angle_alpha 90.00
_cell_angle_beta 90.00
_cell_angle_gamma 120.00
loop_
_atom_site_label
_atom_site_fract_x
_atom_site_fract_y
_atom_site_fract_z
_atom_site_occupancy
Te1 0.0000 0.0000 0.0000 1
C1 0.3333 0.6667 0.3402 1
```

Energy above the lowest structure with this stoichiometry: 0 meV per atom
Uncorrected energy: -6.06 eV per atom

No. 4
First-principles (GGA-PBEsol) data for a relaxed TeC crystal, as listed in Alexandria.

```
data_TeC
_symmetry_space_group_name_H-M 'P 4/n m m'
_symmetry_Int_Tables_number 129
_cell_length_a 4.040
_cell_length_b 4.040
_cell_length_c 4.433
_cell_angle_alpha 90.00
_cell_angle_beta 90.00
_cell_angle_gamma 90.00
loop_
_symmetry_equiv_pos_as_xyz
'x,y,z'
'-x,-y,-z'
'-y+1/2,x,z'
'y+1/2,-x,-z'
'-x+1/2,-y+1/2,z'
'x+1/2,y+1/2,-z'
'y,-x+1/2,z'
'-y,x+1/2,-z'
'x+1/2,-y,-z'
'-x+1/2,y,z'
'-y,-x,-z'
'y,x,z'
'-x,y+1/2,-z'
'x,-y+1/2,z'
'y+1/2,x+1/2,-z'
'-y+1/2,-x+1/2,z'
loop_
_atom_site_label
_atom_site_fract_x
_atom_site_fract_y
_atom_site_fract_z
_atom_site_occupancy
Te1 0.250 0.250 0.215 1
C1 0.250 0.750 0.000 1
```

Energy above the lowest structure with this stoichiometry: 0 meV per atom
Uncorrected energy: -5.11 eV per atom

No. 5
First-principles (GGA-PBEsol) data for a relaxed YTeC2 crystal, as listed in Alexandria.

```
data_YTeC2
_symmetry_space_group_name_H-M 'I -4 2 d'
_symmetry_Int_Tables_number 122
_symmetry_space_group_name_Hall 'I -4 2bw'
_cell_length_a 5.724
_cell_length_b 5.724
_cell_length_c 8.530
_cell_angle_alpha 90.00
_cell_angle_beta 90.00
_cell_angle_gamma 90.00
loop_
_atom_site_label
_atom_site_fract_x
_atom_site_fract_y
_atom_site_fract_z
_atom_site_occupancy
Y1 0.000 0.000 0.000 1
Te1 0.000 0.000 0.500 1
C1 0.218 0.250 0.625 1
```

Uncorrected energy: -6.48 eV per atom

No. 6
First-principles (GGA-PBEsol) data for a relaxed Zn2TeC crystal, as listed in Alexandria.

```
data_Zn2TeC
_symmetry_space_group_name_H-M 'F m -3 m'
_symmetry_Int_Tables_number 225
_symmetry_space_group_name_Hall '-F 4 2 3'
_cell_length_a 6.370
_cell_length_b 6.370
_cell_length_c 6.370
_cell_angle_alpha 90.00
_cell_angle_beta 90.00
_cell_angle_gamma 90.00
loop_
_atom_site_label
_atom_site_fract_x
_atom_site_fract_y
_atom_site_fract_z
_atom_site_occupancy
Zn1 0.250 0.250 0.250 1
Te1 0.000 0.000 0.000 1
C1 0.000 0.000 0.500 1
```

Uncorrected energy: -2.64 eV per atom

No. 7
First-principles (GGA-PBEsol) data for a relaxed Th5C crystal, as listed in Alexandria.

```
data_Th5C
_symmetry_space_group_name_H-M 'R -3 m'
_symmetry_Int_Tables_number 166
_symmetry_space_group_name_Hall '-R 3 2"'
_cell_length_a 3.5401
_cell_length_b 3.5401
_cell_length_c 44.3937
_cell_angle_alpha 90.00
_cell_angle_beta 90.00
_cell_angle_gamma 120.00
loop_
_atom_site_label
_atom_site_fract_x
_atom_site_fract_y
_atom_site_fract_z
_atom_site_occupancy
Th1 0.0000 0.0000 0.0000 1
Th2 0.0000 0.0000 0.2005 1
Th3 0.0000 0.0000 0.3979 1
C1 0.0000 0.0000 0.5000 1
```

Uncorrected energy: -8.47 eV per atom
Calculated formation energy: -10 kJ per mole of atoms

No. 8
First-principles (GGA-PBEsol) data for a relaxed ThC2 crystal, as listed in Alexandria.

```
data_ThC2
_symmetry_space_group_name_H-M 'C 1 2/c 1'
_symmetry_Int_Tables_number 15
_cell_length_a 6.605
_cell_length_b 4.225
_cell_length_c 6.695
_cell_angle_alpha 90.00
_cell_angle_beta 104.09
_cell_angle_gamma 90.00
loop_
_symmetry_equiv_pos_as_xyz
'x,y,z'
'-x,-y,-z'
'-x,y,-z+1/2'
'x,-y,z+1/2'
'x+1/2,y+1/2,z'
'-x+1/2,-y+1/2,-z'
'-x+1/2,y+1/2,-z+1/2'
'x+1/2,-y+1/2,z+1/2'
loop_
_atom_site_label
_atom_site_fract_x
_atom_site_fract_y
_atom_site_fract_z
_atom_site_occupancy
Th1 0.000 0.199 0.250 1
C1 0.199 0.371 0.948 1
```

Uncorrected energy: -9.38 eV per atom
Calculated formation energy: -24 kJ per mole of atoms